Here is Cs2ScTe after structural relaxation from Alexandria. Energies are from PBE.

The structure in POSCAR format:
```
Cs2ScTe
1.0
-7.1725 7.1725 2.7901
7.1725 -7.1725 2.7901
7.1725 7.1725 -2.7901
Cs Sc Te
4 2 2
Direct
0.3750 0.2136 0.3386
0.7864 0.1250 0.1614
0.8750 0.0364 0.6614
0.9636 0.6250 0.8386
0.2500 0.7500 0.5000
0.5000 0.5000 0.0000
0.0000 0.0000 0.0000
0.7500 0.2500 0.5000
```

## Properties
spin magnetization = 0.93 μB per formula unit
formation energy (no corrections) = -0.20 eV per atom
E above lowest polymorph = 0 meV/atom